i.
Computed, not measured: a geometry-optimized NiSnSbTe2 structure at the PBE level of DFT.

a = 5.345 Å, b = 5.345 Å, c = 4.748 Å
α = 90.00°, β = 90.00°, γ = 90.00°
Element x y z (fractional)
Sb: 0.000 0.000 0.500
Te: 0.000 0.500 0.000
Te: 0.500 0.000 0.000
Sn: 0.500 0.500 0.500
Ni: 0.000 0.000 0.000

theoretical density: 6.79 g/cm3
total magnetization: 0.00 μB per atom
symmetry: No. 123
DOS(E_F): 3.7 states/eV/cell

---

ii.
Computed, not measured: a geometry-optimized NiSnSbTe2 structure at the PBE level of DFT.

a = 5.676 Å, b = 5.676 Å, c = 5.640 Å
α = 90.00°, β = 90.00°, γ = 90.00°
Last column: magnetic moment on the atom in μB.
Element x y z (fractional)
Sb: 0.000 0.000 0.500  0.02
Te: 0.000 0.500 0.000  0.04
Te: 0.500 0.000 0.000  0.04
Sn: 0.000 0.000 0.000  0.00
Ni: 0.500 0.500 0.500  0.94

theoretical density: 5.07 g/cm3
total magnetization: 0.23 μB per atom
symmetry: No. 123
DOS(E_F): 11.5 states/eV/cell

---

How do the energies compare? Relative to the most stable structure, in meV/atom: i 0; ii 972.

---

i.
Computed, not measured: a geometry-optimized Tc2NiSb structure at the PBE level of DFT.

a = 8.642 Å, b = 8.642 Å, c = 8.642 Å
α = 19.51°, β = 19.51°, γ = 19.51°
Element x y z (fractional)
Ni: 0.501 0.501 0.501
Sb: 0.754 0.754 0.754
Tc: 0.995 0.995 0.995
Tc: 0.249 0.249 0.249

theoretical density: 9.93 g/cm3
total magnetization: 0.00 μB per atom
symmetry: No. 160
DOS(E_F): 3.2 states/eV/cell

---

ii.
Computed, not measured: a geometry-optimized Tc2NiSb structure at the PBE level of DFT.

a = 8.359 Å, b = 8.359 Å, c = 8.359 Å
α = 20.50°, β = 20.50°, γ = 20.50°
Element x y z (fractional)
Ni: 0.250 0.250 0.250
Sb: 0.750 0.750 0.750
Tc: 0.996 0.996 0.996
Tc: 0.504 0.504 0.504

theoretical density: 9.97 g/cm3
total magnetization: 0.00 μB per atom
symmetry: No. 166
DOS(E_F): 3.8 states/eV/cell

---

iii.
Computed, not measured: a geometry-optimized Tc2NiSb structure at the PBE level of DFT.

a = 4.878 Å, b = 5.095 Å, c = 2.974 Å
α = 78.32°, β = 79.23°, γ = 115.10°
Element x y z (fractional)
Ni: 0.000 0.500 0.500
Sb: 0.500 0.500 0.000
Tc: 0.000 0.000 0.000
Tc: 0.500 0.000 0.500

theoretical density: 10.02 g/cm3
total magnetization: 0.00 μB per atom
symmetry: No. 12
DOS(E_F): 4.2 states/eV/cell

---

iv.
Computed, not measured: a geometry-optimized Tc2NiSb structure at the PBE level of DFT.

a = 5.139 Å, b = 5.139 Å, c = 5.139 Å
α = 142.92°, β = 130.68°, γ = 63.28°
Element x y z (fractional)
Ni: 0.750 0.250 0.500
Sb: 0.250 0.750 0.500
Tc: 0.008 0.008 0.000
Tc: 0.492 0.492 0.000

theoretical density: 10.20 g/cm3
total magnetization: 0.00 μB per atom
symmetry: No. 71
DOS(E_F): 5.1 states/eV/cell

---

How do the energies compare? Relative to the most stable structure, in meV/atom: i 24; ii 171; iii 99; iv 0.

---

i.
Computed, not measured: a geometry-optimized Tc2NiSb structure at the PBE level of DFT.

a = 3.780 Å, b = 3.780 Å, c = 9.754 Å
α = 78.83°, β = 78.83°, γ = 90.00°
Element x y z (fractional)
Sb: 0.000 0.000 0.000
Sb: 0.750 0.250 0.500
Tc: 0.568 0.125 0.250
Tc: 0.182 0.625 0.250
Tc: 0.375 0.432 0.750
Tc: 0.875 0.818 0.750
Ni: 0.500 0.500 0.000
Ni: 0.250 0.750 0.500

theoretical density: 9.33 g/cm3
total magnetization: 0.00 μB per atom
symmetry: No. 122
DOS(E_F): 7.8 states/eV/cell

---

ii.
Computed, not measured: a geometry-optimized Tc2NiSb structure at the PBE level of DFT.

a = 4.655 Å, b = 4.655 Å, c = 4.698 Å
α = 79.37°, β = 79.37°, γ = 38.49°
Element x y z (fractional)
Ni: 0.750 0.750 0.750
Sb: 0.250 0.250 0.250
Tc: 0.012 0.012 0.959
Tc: 0.488 0.488 0.541

theoretical density: 10.06 g/cm3
total magnetization: 0.00 μB per atom
symmetry: No. 12
DOS(E_F): 4.6 states/eV/cell

---

iii.
Computed, not measured: a geometry-optimized Tc2NiSb structure at the PBE level of DFT.

a = 4.706 Å, b = 4.706 Å, c = 4.653 Å
α = 80.27°, β = 80.27°, γ = 37.12°
Element x y z (fractional)
Ni: 0.496 0.496 0.504
Sb: 0.249 0.249 0.269
Tc: 0.006 0.006 0.966
Tc: 0.749 0.749 0.761

theoretical density: 10.21 g/cm3
total magnetization: 0.00 μB per atom
symmetry: No. 8
DOS(E_F): 3.6 states/eV/cell

---

iv.
Computed, not measured: a geometry-optimized Tc2NiSb structure at the PBE level of DFT.

a = 3.680 Å, b = 2.997 Å, c = 6.298 Å
α = 61.84°, β = 90.00°, γ = 90.00°
Element x y z (fractional)
Ni: 0.000 0.506 0.496
Sb: 0.500 0.769 0.730
Tc: 0.000 0.971 0.028
Tc: 0.500 0.253 0.246

theoretical density: 10.21 g/cm3
total magnetization: 0.00 μB per atom
symmetry: No. 6
DOS(E_F): 3.3 states/eV/cell

---

How do the energies compare? Relative to the most stable structure, in meV/atom: i 227; ii 52; iii 32; iv 0.

---

i.
Computed, not measured: a geometry-optimized Tc2NiSb structure at the PBE level of DFT.

a = 4.393 Å, b = 4.393 Å, c = 4.393 Å
α = 60.00°, β = 60.00°, γ = 60.00°
Element x y z (fractional)
Sb: 0.500 0.500 0.500
Tc: 0.250 0.250 0.250
Tc: 0.750 0.750 0.750
Ni: 0.000 0.000 0.000

theoretical density: 10.43 g/cm3
total magnetization: 0.00 μB per atom
symmetry: No. 225
DOS(E_F): 4.3 states/eV/cell

---

ii.
Computed, not measured: a geometry-optimized Tc2NiSb structure at the PBE level of DFT.

a = 4.555 Å, b = 3.017 Å, c = 4.646 Å
α = 87.56°, β = 90.00°, γ = 90.00°
Element x y z (fractional)
Ni: 0.500 0.250 0.250
Sb: 0.500 0.750 0.750
Tc: 0.000 0.966 0.031
Tc: 0.000 0.534 0.469

theoretical density: 9.80 g/cm3
total magnetization: 0.00 μB per atom
symmetry: No. 10
DOS(E_F): 3.7 states/eV/cell

---

How do the energies compare? Relative to the most stable structure, in meV/atom: i 0; ii 215.

---

i.
Computed, not measured: a geometry-optimized Tc2NiSb structure at the PBE level of DFT.

a = 5.053 Å, b = 5.053 Å, c = 5.053 Å
α = 142.86°, β = 128.73°, γ = 64.98°
Element x y z (fractional)
Ni: 0.489 0.489 0.000
Sb: 0.262 0.762 0.500
Tc: 0.006 0.006 0.000
Tc: 0.742 0.242 0.500

theoretical density: 10.43 g/cm3
total magnetization: 0.00 μB per atom
symmetry: No. 44
DOS(E_F): 3.3 states/eV/cell

---

ii.
Computed, not measured: a geometry-optimized Tc2NiSb structure at the PBE level of DFT.

a = 4.714 Å, b = 4.714 Å, c = 4.714 Å
α = 130.06°, β = 130.06°, γ = 73.31°
Element x y z (fractional)
Ni: 0.500 0.500 0.000
Sb: 0.750 0.250 0.500
Tc: 0.000 0.000 0.000
Tc: 0.250 0.750 0.500

theoretical density: 10.43 g/cm3
total magnetization: 0.00 μB per atom
symmetry: No. 119
DOS(E_F): 2.5 states/eV/cell

---

iii.
Computed, not measured: a geometry-optimized Tc2NiSb structure at the PBE level of DFT.

a = 4.414 Å, b = 4.414 Å, c = 4.414 Å
α = 60.00°, β = 60.00°, γ = 60.00°
Last column: magnetic moment on the atom in μB.
Element x y z (fractional)
Ni: 0.500 0.500 0.500  -0.17
Sb: 0.750 0.750 0.750  0.01
Tc: 0.000 0.000 0.000  -0.18
Tc: 0.250 0.250 0.250  0.56

theoretical density: 10.28 g/cm3
total magnetization: 0.07 μB per atom
symmetry: No. 216
DOS(E_F): 4.8 states/eV/cell

---

How do the energies compare? Relative to the most stable structure, in meV/atom: i 60; ii 0; iii 143.

---

i.
Computed, not measured: a geometry-optimized Tc2NiSb structure at the PBE level of DFT.

a = 4.763 Å, b = 4.763 Å, c = 4.763 Å
α = 130.93°, β = 130.93°, γ = 71.93°
Element x y z (fractional)
Ni: 0.250 0.750 0.500
Sb: 0.750 0.250 0.500
Tc: 0.000 0.000 0.000
Tc: 0.500 0.500 0.000

theoretical density: 10.36 g/cm3
total magnetization: 0.00 μB per atom
symmetry: No. 139
DOS(E_F): 5.4 states/eV/cell

---

ii.
Computed, not measured: a geometry-optimized Tc2NiSb structure at the PBE level of DFT.

a = 3.156 Å, b = 3.156 Å, c = 6.069 Å
α = 90.00°, β = 90.00°, γ = 90.00°
Element x y z (fractional)
Ni: 0.500 0.500 0.250
Sb: 0.500 0.500 0.750
Tc: 0.000 0.000 0.025
Tc: 0.000 0.000 0.475

theoretical density: 10.34 g/cm3
total magnetization: 0.00 μB per atom
symmetry: No. 123
DOS(E_F): 3.3 states/eV/cell

---

How do the energies compare? Relative to the most stable structure, in meV/atom: i 0; ii 48.

---

i.
Computed, not measured: a geometry-optimized Tc2NiSb structure at the PBE level of DFT.

a = 2.978 Å, b = 4.631 Å, c = 5.545 Å
α = 52.83°, β = 90.00°, γ = 90.00°
Element x y z (fractional)
Ni: 0.500 0.500 0.500
Sb: 0.000 0.000 0.500
Tc: 0.000 0.000 0.000
Tc: 0.500 0.500 0.000

theoretical density: 10.26 g/cm3
total magnetization: 0.00 μB per atom
symmetry: No. 10
DOS(E_F): 4.5 states/eV/cell

---

ii.
Computed, not measured: a geometry-optimized Tc2NiSb structure at the PBE level of DFT.

a = 3.832 Å, b = 3.831 Å, c = 4.134 Å
α = 90.00°, β = 90.00°, γ = 90.00°
Element x y z (fractional)
Ni: 0.500 0.000 0.500
Sb: 0.000 0.500 0.500
Tc: 0.000 0.000 0.000
Tc: 0.500 0.500 0.000

theoretical density: 10.30 g/cm3
total magnetization: 0.00 μB per atom
symmetry: No. 123
DOS(E_F): 5.8 states/eV/cell

---

How do the energies compare? Relative to the most stable structure, in meV/atom: i 8; ii 0.

---

i.
Computed, not measured: a geometry-optimized TcNi2Sb structure at the PBE level of DFT.

a = 4.232 Å, b = 2.886 Å, c = 4.674 Å
α = 89.98°, β = 90.00°, γ = 90.00°
Element x y z (fractional)
Ni: 0.000 0.125 0.972
Ni: 0.500 0.125 0.274
Sb: 0.000 0.625 0.446
Tc: 0.500 0.625 0.808

theoretical density: 9.80 g/cm3
total magnetization: 0.00 μB per atom
symmetry: No. 25
DOS(E_F): 3.5 states/eV/cell

---

ii.
Computed, not measured: a geometry-optimized TcNi2Sb structure at the PBE level of DFT.

a = 4.582 Å, b = 4.582 Å, c = 2.920 Å
α = 89.99°, β = 89.99°, γ = 109.51°
Last column: magnetic moment on the atom in μB.
Element x y z (fractional)
Ni: 0.000 0.000 0.000  0.06
Ni: 0.500 0.500 0.000  0.06
Sb: 0.500 0.000 0.500  0.00
Tc: 0.000 0.500 0.500  0.25

theoretical density: 9.69 g/cm3
total magnetization: 0.10 μB per atom
symmetry: No. 65
DOS(E_F): 5.1 states/eV/cell

---

How do the energies compare? Relative to the most stable structure, in meV/atom: i 0; ii 54.